# 1
Density functional theory data (GGA-PBE) for a geometry-optimized Nb3CrOs structure.

Properties
* energy above the lowest structure with this stoichiometry: 141 meV per atom
* calculated formation energy: 1246 meV per atom
* space group: Pm-3m (221)

Cell: 4.8591 4.8591 4.8591 Å, 90.00 90.00 90.00°
Positions (direct):
Nb 0.0000 0.0000 0.5000
Nb 0.0000 0.5000 0.0000
Nb 0.5000 0.0000 0.0000
Cr 0.5000 0.5000 0.5000
Os 0.0000 0.0000 0.0000

# 2
Density functional theory data (GGA-PBE) for a geometry-optimized Nb4CrOs structure.

Properties
* calculated formation energy: 363 meV per atom
* space group: P2/m (10)

Cell: 4.3561 4.2768 6.1813 Å, 90.00 94.91 90.00°
Positions (direct):
Nb 0.0149 0.0000 0.2605
Nb 0.4839 0.5000 0.7413
Nb 0.5161 0.5000 0.2587
Nb 0.9851 0.0000 0.7395
Cr 0.5000 0.0000 0.5000
Os 0.0000 0.5000 0.0000

# 3
Density functional theory data (GGA-PBE) for a geometry-optimized Nb3CrOs structure.

Properties
* energy above the lowest structure with this stoichiometry: 0 meV per atom
* calculated formation energy: 1105 meV per atom
* space group: Pm-3m (221)

Cell: 4.5124 4.5124 4.5124 Å, 90.00 90.00 90.00°
Positions (direct):
Nb 0.0000 0.0000 0.5000
Nb 0.0000 0.5000 0.0000
Nb 0.5000 0.0000 0.0000
Cr 0.0000 0.0000 0.0000
Os 0.5000 0.5000 0.5000

# 4
Density functional theory data (GGA-PBE) for a geometry-optimized Nb2CrOsS structure.

Properties
* formation energy from raw total energies: 590 kJ/mol of formula units
* space group: P4/mmm (123)

Cell: 4.6217 4.6217 4.4594 Å, 90.00 90.00 90.00°
Positions (direct):
Nb 0.0000 0.5000 0.0000
Nb 0.5000 0.0000 0.0000
Cr 0.0000 0.0000 0.0000
Os 0.0000 0.0000 0.5000
S 0.5000 0.5000 0.5000

# 5
Density functional theory data (GGA-PBE) for a geometry-optimized TaNbCrOs structure.

Properties
* calculated formation energy: -240 meV per atom
* space group: F-43m (216)

Cell: 6.3002 6.3002 6.3002 Å, 90.00 90.00 90.00°
Positions (direct):
Ta 0.0000 0.0000 0.0000
Ta 0.0000 0.5000 0.5000
Ta 0.5000 0.0000 0.5000
Ta 0.5000 0.5000 0.0000
Nb 0.0000 0.0000 0.5000
Nb 0.0000 0.5000 0.0000
Nb 0.5000 0.0000 0.0000
Nb 0.5000 0.5000 0.5000
Cr 0.2500 0.2500 0.2500
Cr 0.2500 0.7500 0.7500
Cr 0.7500 0.2500 0.7500
Cr 0.7500 0.7500 0.2500
Os 0.2500 0.2500 0.7500
Os 0.2500 0.7500 0.2500
Os 0.7500 0.2500 0.2500
Os 0.7500 0.7500 0.7500

# 6
Density functional theory data (GGA-PBE) for a geometry-optimized NbCrTc2Os structure.

Properties
* calculated formation energy: 2278 meV per atom
* space group: P4/mmm (123)

Cell: 4.6360 4.6360 4.7014 Å, 90.00 90.00 90.00°
Positions (direct):
Nb 0.0000 0.0000 0.0000
Cr 0.5000 0.5000 0.5000
Tc 0.0000 0.5000 0.0000
Tc 0.5000 0.0000 0.0000
Os 0.0000 0.0000 0.5000